Computed, not measured: a relaxed TbCe2ScBi5 crystal at the PBE level of DFT.

```
9
Lattice="5.5250 0.0000 0.0000 0.0000 5.5250 0.0000 0.0000 0.0000 11.4869" Properties=species:S:1:pos:R:3 pbc="T T T"
Tb 0.0000 0.0000 0.0000
Ce 2.7625 2.7625 2.4148
Ce 2.7625 2.7625 9.0720
Sc 0.0000 0.0000 5.7434
Bi 0.0000 0.0000 2.9937
Bi 0.0000 0.0000 8.4932
Bi 0.0000 2.7625 0.0000
Bi 2.7625 0.0000 0.0000
Bi 2.7625 2.7625 5.7434
```

Properties
Space group   P4/mmm
Uncorrected energy   -42.64 eV per formula unit
Formation energy from the elements   -44.6 meV/atom